Record 1
This record from the Alexandria database describes a relaxed structure of K4PaSe5. The functional is GGA-PBE.

a = 6.492 Å, b = 8.012 Å, c = 8.012 Å
α = 80.55°, β = 66.10°, γ = 66.10°
Last column: magnetic moment on the atom in μB.
Sites, in units of the cell vectors:
1 K 0.412 0.389 0.791  0.00
2 K 0.203 0.209 0.389  0.00
3 K 0.801 0.791 0.611  0.00
4 K 0.592 0.611 0.209  0.00
5 Se 0.749 0.172 0.330  0.16
6 Se 0.920 0.330 0.828  0.16
7 Se 0.079 0.670 0.172  0.16
8 Se 0.464 0.000 0.000  0.03
9 Se 0.250 0.828 0.670  0.16
10 Pa 0.041 0.000 0.000  -0.11

## Properties
Calculated total energy ... -43.45 eV/cell
Formation energy without anion corrections ... -1.214 eV/atom
Distance to the lowest polymorph of the same formula ... 0.00 eV per formula unit

---

Record 2
This record from the Alexandria database describes a relaxed structure of KPa3Se6. The functional is GGA-PBE.

a = 4.226 Å, b = 11.817 Å, c = 12.324 Å
α = 108.46°, β = 90.00°, γ = 90.00°
Last column: magnetic moment on the atom in μB.
Sites, in units of the cell vectors:
1 Se 0.750 0.149 0.447  -0.03
2 Se 0.250 0.851 0.553  -0.03
3 Se 0.250 0.521 0.404  -0.04
4 Se 0.250 0.071 0.902  -0.03
5 Se 0.750 0.672 0.265  -0.04
6 Se 0.750 0.929 0.098  -0.03
7 Se 0.250 0.257 0.226  -0.03
8 Se 0.750 0.479 0.596  -0.04
9 Se 0.250 0.328 0.735  -0.04
10 Se 0.750 0.372 0.003  -0.04
11 Se 0.250 0.628 0.997  -0.04
12 Se 0.750 0.743 0.774  -0.03
13 Pa 0.750 0.683 0.506  1.00
14 Pa 0.250 0.496 0.165  1.32
15 Pa 0.250 0.839 0.932  1.25
16 Pa 0.750 0.161 0.068  1.25
17 Pa 0.250 0.317 0.494  1.00
18 Pa 0.750 0.504 0.835  1.32
19 K 0.750 0.084 0.691  0.00
20 K 0.250 0.916 0.309  0.00

## Properties
Calculated total energy ... -127.83 eV/cell
Formation energy without anion corrections ... -1.342 eV/atom

---

Record 3
This record from the Alexandria database describes a relaxed structure of KPa4Se8. The functional is GGA-PBE.

a = 7.877 Å, b = 7.877 Å, c = 17.413 Å
α = 90.00°, β = 90.00°, γ = 120.00°
Last column: magnetic moment on the atom in μB.
Sites, in units of the cell vectors:
1 K 0.000 0.000 0.500  0.00
2 K 0.000 0.000 0.000  0.00
3 Pa 0.501 0.499 0.750  0.99
4 Pa 0.499 0.997 0.250  0.99
5 Pa 0.003 0.501 0.250  0.99
6 Pa 0.000 0.000 0.750  0.97
7 Pa 0.499 0.501 0.250  0.99
8 Pa 0.000 0.000 0.250  0.97
9 Pa 0.501 0.003 0.750  0.99
10 Pa 0.997 0.499 0.750  0.99
11 Se 0.666 0.833 0.851  -0.04
12 Se 0.833 0.666 0.149  -0.04
13 Se 0.167 0.334 0.649  -0.04
14 Se 0.167 0.833 0.649  -0.04
15 Se 0.833 0.666 0.351  -0.04
16 Se 0.667 0.333 0.852  -0.04
17 Se 0.333 0.667 0.352  -0.04
18 Se 0.833 0.167 0.149  -0.04
19 Se 0.666 0.833 0.649  -0.04
20 Se 0.667 0.333 0.648  -0.04
21 Se 0.167 0.833 0.851  -0.04
22 Se 0.334 0.167 0.351  -0.04
23 Se 0.333 0.667 0.148  -0.04
24 Se 0.167 0.334 0.851  -0.04
25 Se 0.334 0.167 0.149  -0.04
26 Se 0.833 0.167 0.351  -0.04

## Properties
Calculated total energy ... -167.61 eV/cell
Formation energy without anion corrections ... -1.296 eV/atom
Distance to the lowest polymorph of the same formula ... 0.00 eV per formula unit

---

Record 4
This record from the Alexandria database describes a relaxed structure of K3PaSe4. The functional is GGA-PBE.

a = 4.397 Å, b = 7.951 Å, c = 7.951 Å
α = 108.52°, β = 90.00°, γ = 90.00°
Sites, in units of the cell vectors:
1 Se 0.500 0.209 0.791
2 Se 0.500 0.791 0.209
3 Se 0.000 0.797 0.797
4 Se 0.000 0.203 0.203
5 Pa 0.500 0.000 0.000
6 K 0.000 0.500 0.000
7 K 0.500 0.500 0.500
8 K 0.000 0.000 0.500

## Properties
Calculated total energy ... -37.68 eV/cell
Formation energy without anion corrections ... -1.369 eV/atom

---

Record 5
This record from the Alexandria database describes a relaxed structure of KPa2Se5. The functional is GGA-PBE.

a = 4.348 Å, b = 8.537 Å, c = 8.537 Å
α = 49.51°, β = 75.25°, γ = 75.25°
Last column: magnetic moment on the atom in μB.
Sites, in units of the cell vectors:
1 K 0.000 0.000 0.000  0.00
2 Se 0.656 0.603 0.086  -0.03
3 Se 0.344 0.397 0.914  -0.03
4 Se 0.656 0.086 0.603  -0.03
5 Se 0.344 0.914 0.397  -0.03
6 Se 0.000 0.500 0.500  -0.04
7 Pa 0.186 0.314 0.314  0.59
8 Pa 0.814 0.686 0.686  0.59

## Properties
Calculated total energy ... -48.64 eV/cell
Formation energy without anion corrections ... -1.391 eV/atom
Distance to the lowest polymorph of the same formula ... 0.19 eV per formula unit

---

Record 6
This record from the Alexandria database describes a relaxed structure of K2PaSe3. The functional is GGA-PBE.

a = 4.346 Å, b = 6.061 Å, c = 8.326 Å
α = 111.35°, β = 90.00°, γ = 90.00°
Last column: magnetic moment on the atom in μB.
Sites, in units of the cell vectors:
1 Se 0.500 0.878 0.756  -0.03
2 Se 0.000 0.500 0.000  -0.03
3 Se 0.500 0.122 0.244  -0.03
4 K 0.500 0.659 0.318  0.00
5 K 0.500 0.341 0.682  0.00
6 Pa 0.000 0.000 0.000  1.04

## Properties
Calculated total energy ... -29.93 eV/cell
Formation energy without anion corrections ... -1.298 eV/atom
Distance to the lowest polymorph of the same formula ... 0.61 eV per formula unit

---

Record 7
This record from the Alexandria database describes a relaxed structure of KSmPaSe4. The functional is GGA-PBE.

a = 8.829 Å, b = 8.834 Å, c = 8.885 Å
α = 120.19°, β = 90.00°, γ = 119.98°
Last column: magnetic moment on the atom in μB.
Sites, in units of the cell vectors:
1 Pa 0.000 0.500 0.500  1.01
2 Pa 0.500 0.500 0.500  1.01
3 Se 0.737 0.473 0.276  -0.02
4 Se 0.263 0.527 0.724  -0.02
5 Se 0.697 0.957 0.728  -0.01
6 Se 0.737 0.473 0.697  -0.02
7 Se 0.263 0.527 0.303  -0.02
8 Se 0.260 0.957 0.728  -0.01
9 Se 0.303 0.043 0.272  -0.01
10 Se 0.740 0.043 0.272  -0.01
11 K 0.124 0.248 0.874  0.00
12 K 0.876 0.752 0.126  0.00
13 Sm 0.500 0.000 0.000  0.02
14 Sm 0.500 0.000 0.500  0.02

## Properties
Calculated total energy ... -79.86 eV/cell
Formation energy without anion corrections ... -1.526 eV/atom

---

Record 8
This record from the Alexandria database describes a relaxed structure of K4Sm3PaSe8. The functional is GGA-PBE.

a = 8.551 Å, b = 9.162 Å, c = 8.552 Å
α = 117.81°, β = 120.00°, γ = 90.00°
Last column: magnetic moment on the atom in μB.
Sites, in units of the cell vectors:
1 K 0.000 0.000 0.500  0.00
2 K 0.000 0.000 0.000  0.00
3 K 0.500 0.000 0.500  0.00
4 K 0.500 0.000 0.000  0.00
5 Se 0.263 0.289 0.526  0.00
6 Se 0.766 0.290 0.024  -0.01
7 Se 0.234 0.710 0.976  -0.01
8 Se 0.234 0.710 0.468  -0.01
9 Se 0.741 0.710 0.976  -0.01
10 Se 0.259 0.290 0.024  -0.01
11 Se 0.766 0.290 0.532  -0.01
12 Se 0.737 0.711 0.474  0.00
13 Sm 0.500 0.500 0.000  0.07
14 Sm 0.000 0.500 0.500  0.07
15 Sm 0.500 0.500 0.500  0.07
16 Pa 0.000 0.500 0.000  1.30

## Properties
Calculated total energy ... -82.08 eV/cell
Formation energy without anion corrections ... -1.635 eV/atom

---

Which value of formation energy without anion corrections does entry 7 give?
-1.526 eV/atom

---

Look up the calculated total energy of the sixth one.
-29.93 eV/cell

---

The highest calculated total energy belongs to which entry?
K2PaSe3

---

The lowest calculated total energy belongs to which entry?
KPa4Se8